(1)
# Cu2SnSbW, PBEsol geometry, DFT meta-GGA SCAN
data_Cu2SnSbW
_symmetry_space_group_name_H-M 'P 4/m m m'
_symmetry_Int_Tables_number 123
_symmetry_space_group_name_Hall '-P 4 2'
_cell_length_a 4.575
_cell_length_b 4.575
_cell_length_c 5.884
_cell_angle_alpha 90.00
_cell_angle_beta 90.00
_cell_angle_gamma 90.00
loop_
_atom_site_label
_atom_site_type_symbol
_atom_site_fract_x
_atom_site_fract_y
_atom_site_fract_z
_atom_site_occupancy
Cu1 Cu 0.000 0.500 0.000 1
Sn1 Sn 0.000 0.000 0.500 1
Sb1 Sb 0.000 0.000 0.000 1
W1 W 0.500 0.500 0.500 1
# **Formation energy (no corrections)**: 1.665 eV/atom
# **Calculated total energy**: -164.94 eV per cell


(2)
# Sr2CuSb, PBEsol geometry, DFT meta-GGA SCAN
data_Sr2CuSb
_symmetry_space_group_name_H-M 'P 4/m m m'
_symmetry_Int_Tables_number 123
_symmetry_space_group_name_Hall '-P 4 2'
_cell_length_a 5.330
_cell_length_b 5.330
_cell_length_c 4.048
_cell_angle_alpha 90.00
_cell_angle_beta 90.00
_cell_angle_gamma 90.00
loop_
_atom_site_label
_atom_site_type_symbol
_atom_site_fract_x
_atom_site_fract_y
_atom_site_fract_z
_atom_site_occupancy
Sr1 Sr 0.000 0.500 0.000 1
Cu1 Cu 0.000 0.000 0.500 1
Sb1 Sb 0.500 0.500 0.500 1
# **Formation energy (no corrections)**: -0.494 eV/atom
# **Calculated total energy**: -98.99 eV per cell


(3)
# Sr2CuSb, PBEsol geometry, DFT meta-GGA SCAN
data_Sr2CuSb
_symmetry_space_group_name_H-M 'A m m 2'
_symmetry_Int_Tables_number 38
_symmetry_space_group_name_Hall 'A 2 -2'
_cell_length_a 4.484
_cell_length_b 4.526
_cell_length_c 11.832
_cell_angle_alpha 90.00
_cell_angle_beta 90.00
_cell_angle_gamma 90.00
loop_
_atom_site_label
_atom_site_type_symbol
_atom_site_fract_x
_atom_site_fract_y
_atom_site_fract_z
_atom_site_occupancy
Sr1 Sr 0.000 0.000 0.000 1
Sr2 Sr 0.500 0.000 0.284 1
Cu1 Cu 0.000 0.000 0.706 1
Sb1 Sb 0.500 0.000 0.575 1
# **Formation energy (no corrections)**: -0.609 eV/atom
# **Calculated total energy**: -198.89 eV per cell


(4)
# TaCuSb2, PBEsol geometry, DFT meta-GGA SCAN
data_TaCuSb2
_symmetry_space_group_name_H-M 'F m -3 m'
_symmetry_Int_Tables_number 225
_symmetry_space_group_name_Hall '-F 4 2 3'
_cell_length_a 6.759
_cell_length_b 6.759
_cell_length_c 6.759
_cell_angle_alpha 90.00
_cell_angle_beta 90.00
_cell_angle_gamma 90.00
loop_
_atom_site_label
_atom_site_type_symbol
_atom_site_fract_x
_atom_site_fract_y
_atom_site_fract_z
_atom_site_occupancy
Ta1 Ta 0.000 0.000 0.000 1
Cu1 Cu 0.000 0.000 0.500 1
Sb1 Sb 0.250 0.250 0.250 1
# **Formation energy (no corrections)**: 0.515 eV/atom
# **Energy above the lowest structure with this stoichiometry**: 0.146 eV/atom
# **Calculated total energy**: -616.97 eV per cell


(5)
# Ta3CuSb, PBEsol geometry, DFT meta-GGA SCAN
data_Ta3CuSb
_symmetry_space_group_name_H-M 'P m -3 m'
_symmetry_Int_Tables_number 221
_symmetry_space_group_name_Hall '-P 4 2 3'
_cell_length_a 4.612
_cell_length_b 4.612
_cell_length_c 4.612
_cell_angle_alpha 90.00
_cell_angle_beta 90.00
_cell_angle_gamma 90.00
loop_
_atom_site_label
_atom_site_type_symbol
_atom_site_fract_x
_atom_site_fract_y
_atom_site_fract_z
_atom_site_occupancy
Ta1 Ta 0.000 0.000 0.500 1
Cu1 Cu 0.000 0.000 0.000 1
Sb1 Sb 0.500 0.500 0.500 1
# **Formation energy (no corrections)**: 1.016 eV/atom
# **Calculated total energy**: -247.13 eV per cell


(6)
# TaCuSb2, PBEsol geometry, DFT meta-GGA SCAN
data_TaCuSb2
_symmetry_space_group_name_H-M 'P 4/m m m'
_symmetry_Int_Tables_number 123
_symmetry_space_group_name_Hall '-P 4 2'
_cell_length_a 4.646
_cell_length_b 4.646
_cell_length_c 3.469
_cell_angle_alpha 90.00
_cell_angle_beta 90.00
_cell_angle_gamma 90.00
loop_
_atom_site_label
_atom_site_type_symbol
_atom_site_fract_x
_atom_site_fract_y
_atom_site_fract_z
_atom_site_occupancy
Ta1 Ta 0.000 0.000 0.000 1
Cu1 Cu 0.500 0.500 0.000 1
Sb1 Sb 0.000 0.500 0.500 1
# **Formation energy (no corrections)**: 0.369 eV/atom
# **Energy above the lowest structure with this stoichiometry**: 0.000 eV/atom
# **Calculated total energy**: -154.83 eV per cell


(7)
# TaCuSbTe2, PBEsol geometry, DFT meta-GGA SCAN
data_TaCuSbTe2
_symmetry_space_group_name_H-M 'P 4/m m m'
_symmetry_Int_Tables_number 123
_symmetry_space_group_name_Hall '-P 4 2'
_cell_length_a 4.965
_cell_length_b 4.965
_cell_length_c 4.890
_cell_angle_alpha 90.00
_cell_angle_beta 90.00
_cell_angle_gamma 90.00
loop_
_atom_site_label
_atom_site_type_symbol
_atom_site_fract_x
_atom_site_fract_y
_atom_site_fract_z
_atom_site_occupancy
Ta1 Ta 0.000 0.000 0.000 1
Cu1 Cu 0.500 0.500 0.500 1
Sb1 Sb 0.500 0.500 0.000 1
Te1 Te 0.000 0.500 0.500 1
# **Formation energy (no corrections)**: 1.031 eV/atom
# **Calculated total energy**: -188.39 eV per cell


(8)
# TaCuSb2Te, PBEsol geometry, DFT meta-GGA SCAN
data_TaCuSb2Te
_symmetry_space_group_name_H-M 'P 4/m m m'
_symmetry_Int_Tables_number 123
_symmetry_space_group_name_Hall '-P 4 2'
_cell_length_a 4.887
_cell_length_b 4.887
_cell_length_c 4.988
_cell_angle_alpha 90.00
_cell_angle_beta 90.00
_cell_angle_gamma 90.00
loop_
_atom_site_label
_atom_site_type_symbol
_atom_site_fract_x
_atom_site_fract_y
_atom_site_fract_z
_atom_site_occupancy
Ta1 Ta 0.000 0.000 0.000 1
Cu1 Cu 0.500 0.500 0.500 1
Sb1 Sb 0.000 0.500 0.500 1
Te1 Te 0.500 0.500 0.000 1
# **Formation energy (no corrections)**: 1.070 eV/atom
# **Calculated total energy**: -188.21 eV per cell